w.
# PBE Sm2Ho3Er6, relaxed
data_Sm2Ho3Er6
_chemical_formula_sum 'Sm4 Ho6 Er12'
_space_group_name_H-M_alt 'C 1 2/m 1'
_space_group_IT_number 12
_space_group_name_Hall '-C 2y'
_cell_length_a 6.059
_cell_length_b 10.513
_cell_length_c 11.598
_cell_angle_alpha 90.00
_cell_angle_beta 100.14
_cell_angle_gamma 90.00
loop_
_atom_site_label
_atom_site_type_symbol
_atom_site_fract_x
_atom_site_fract_y
_atom_site_fract_z
Sm1 Sm 0.000 0.166 0.000
Ho1 Ho 0.000 0.000 0.500
Ho2 Ho 0.000 0.335 0.500
Er1 Er 0.249 0.167 0.748
Er2 Er 0.250 0.000 0.252
# spin magnetization: 0.000 μB per atom

=====

x.
# PBE Sm2Ho3Er6, relaxed
data_Sm2Ho3Er6
_chemical_formula_sum 'Sm4 Ho6 Er12'
_space_group_name_H-M_alt 'I 4/m m m'
_space_group_IT_number 139
_space_group_name_Hall '-I 4 2'
_cell_length_a 4.696
_cell_length_b 4.696
_cell_length_c 32.955
_cell_angle_alpha 90.00
_cell_angle_beta 90.00
_cell_angle_gamma 90.00
loop_
_atom_site_label
_atom_site_type_symbol
_atom_site_fract_x
_atom_site_fract_y
_atom_site_fract_z
Sm1 Sm 0.000 0.000 0.046
Ho1 Ho 0.000 0.000 0.299
Ho2 Ho 0.000 0.000 0.500
Er1 Er 0.000 0.000 0.196
Er2 Er 0.000 0.500 0.122
# spin magnetization: 0.000 μB per atom

=====

Name the most stable of them. w.

=====

w.
# PBE Sm12Ho6Er, relaxed
data_Sm12Ho6Er
_chemical_formula_sum 'Sm36 Ho18 Er3'
_space_group_name_H-M_alt 'R -3'
_space_group_IT_number 148
_space_group_name_Hall '-R 3'
_cell_length_a 14.7210
_cell_length_b 14.7210
_cell_length_c 10.4153
_cell_angle_alpha 90.00
_cell_angle_beta 90.00
_cell_angle_gamma 120.00
loop_
_atom_site_label
_atom_site_type_symbol
_atom_site_fract_x
_atom_site_fract_y
_atom_site_fract_z
Sm1 Sm 0.0544 0.8016 0.0795
Sm2 Sm 0.0650 0.8372 0.4191
Ho1 Ho 0.0508 0.8372 0.7594
Er1 Er 0.0000 0.0000 0.0000
# spin magnetization: 0.000 μB per atom

=====

x.
# PBE Sm12Ho6Er, relaxed
data_Sm12Ho6Er
_chemical_formula_sum 'Sm36 Ho18 Er3'
_space_group_name_H-M_alt 'R -3'
_space_group_IT_number 148
_space_group_name_Hall '-R 3'
_cell_length_a 12.0397
_cell_length_b 12.0397
_cell_length_c 15.1878
_cell_angle_alpha 90.00
_cell_angle_beta 90.00
_cell_angle_gamma 120.00
loop_
_atom_site_label
_atom_site_type_symbol
_atom_site_fract_x
_atom_site_fract_y
_atom_site_fract_z
Sm1 Sm 0.0048 0.8300 0.1910
Sm2 Sm 0.0455 0.8498 0.4164
Ho1 Ho 0.0146 0.4263 0.6859
Er1 Er 0.0000 0.0000 0.0000
# spin magnetization: 0.000 μB per atom

=====

Name the most stable of them. x.